Here is crystalline MgPbW3 at its relaxed geometry from the Alexandria database. Energies are from PBE.

Summary:
The calculation puts the total energy at -31.79 eV for the cell shown. The space-group type is Pm-3m (221). As for the energy of formation: 2.475 eV per atom. As for the total magnetization: 1.69 μB/cell.

Geometry as POSCAR:
```
MgPbW3
1.0
-3.345 3.165 -0.798
-3.244 -3.099 1.309
0.357 1.490 4.414
Pb Mg W
1 1 3
direct
0.500 0.500 0.500
0.000 0.000 0.000
0.000 0.500 0.000
0.000 0.000 0.500
0.500 0.000 0.000
```

Here is crystalline Ac2La12Nd5 at its relaxed geometry from the Alexandria database. Energies are from PBE.

Summary:
The calculation puts the total energy at -89.54 eV for the cell shown. The space-group type is C2/m (12). As for the energy of formation: 0.086 eV per atom. As for the total magnetization: 0.00 μB/cell.

Geometry as POSCAR:
```
Ac2La12Nd5
1.0
-5.309 -8.190 6.895
7.023 5.484 1.566
-2.594 7.004 6.322
Ac La Nd
2 12 5
direct
0.734 0.000 0.000
0.266 0.000 0.000
0.129 0.257 0.049
0.054 0.624 0.803
0.570 0.624 0.803
0.173 0.783 0.429
0.610 0.783 0.429
0.428 0.856 0.772
0.572 0.144 0.228
0.827 0.217 0.571
0.390 0.217 0.571
0.946 0.376 0.197
0.430 0.376 0.197
0.871 0.743 0.951
0.189 0.377 0.671
0.308 0.615 0.239
0.000 0.000 0.500
0.692 0.385 0.761
0.811 0.623 0.329
```

Here is crystalline SrZn4Cd4 at its relaxed geometry from the Alexandria database. Energies are from PBE.

Summary:
The calculation puts the total energy at -21.42 eV for the cell shown. The space-group type is I4/m (87). As for the energy of formation: -0.030 eV per atom. As for the total magnetization: 0.00 μB/cell.

Geometry as POSCAR:
```
SrZn4Cd4
1.0
4.779 0.000 0.000
0.000 9.192 0.000
0.000 0.000 9.192
Sr Zn Cd
2 8 8
direct
0.000 0.000 0.000
0.500 0.500 0.500
0.500 0.882 0.212
0.500 0.118 0.788
0.000 0.712 0.618
0.000 0.382 0.712
0.000 0.618 0.288
0.500 0.212 0.118
0.500 0.788 0.882
0.000 0.288 0.382
0.500 0.402 0.870
0.000 0.630 0.902
0.500 0.598 0.130
0.000 0.098 0.630
0.500 0.870 0.598
0.000 0.902 0.370
0.000 0.370 0.098
0.500 0.130 0.402
```

Here is crystalline Li5Sn3F12 at its relaxed geometry from the Alexandria database. Energies are from PBE.

Summary:
The raw formation energy comes out at -2.5537 eV per atom. The calculation puts the total energy at -380.43 eV for the cell shown. The space-group type is Ia-3d (230). As for the total magnetization: 0.00 μB/cell.

Geometry as POSCAR:
```
Li5Sn3F12
1.0
11.001 0.000 0.000
-3.667 10.372 0.000
-3.667 -5.186 8.983
Sn Li F
12 20 48
direct
0.750 0.375 0.125
0.875 0.750 0.125
0.375 0.750 0.625
0.250 0.125 0.375
0.875 0.125 0.250
0.375 0.625 0.250
0.625 0.375 0.750
0.125 0.875 0.750
0.750 0.875 0.625
0.625 0.250 0.375
0.125 0.250 0.875
0.250 0.625 0.875
0.125 0.375 0.250
0.000 0.500 0.000
0.000 0.000 0.000
0.375 0.250 0.125
0.500 0.000 0.500
0.500 0.500 0.000
0.125 0.750 0.375
0.750 0.125 0.875
0.750 0.625 0.375
0.375 0.125 0.750
0.625 0.875 0.250
0.500 0.500 0.500
0.500 0.000 0.000
0.000 0.000 0.500
0.250 0.375 0.625
0.250 0.875 0.125
0.000 0.500 0.500
0.875 0.250 0.625
0.625 0.750 0.875
0.875 0.625 0.750
0.710 0.125 0.030
0.320 0.530 0.406
0.970 0.375 0.290
0.530 0.210 0.125
0.586 0.710 0.680
0.970 0.594 0.180
0.320 0.790 0.414
0.094 0.914 0.125
0.594 0.970 0.680
0.710 0.586 0.180
0.790 0.470 0.375
0.820 0.906 0.030
0.125 0.710 0.530
0.375 0.406 0.086
0.086 0.906 0.375
0.414 0.125 0.594
0.086 0.180 0.210
0.470 0.680 0.094
0.820 0.914 0.290
0.125 0.414 0.094
0.375 0.970 0.790
0.594 0.625 0.414
0.906 0.820 0.530
0.790 0.320 0.914
0.406 0.375 0.586
0.094 0.180 0.470
0.210 0.680 0.086
0.180 0.086 0.710
0.625 0.030 0.210
0.875 0.586 0.906
0.530 0.320 0.906
0.586 0.875 0.406
0.914 0.820 0.790
0.914 0.094 0.625
0.875 0.290 0.470
0.180 0.094 0.970
0.625 0.594 0.914
0.406 0.030 0.320
0.290 0.414 0.820
0.210 0.530 0.625
0.906 0.086 0.875
0.680 0.210 0.586
0.470 0.790 0.875
0.030 0.406 0.820
0.414 0.290 0.320
0.030 0.625 0.710
0.680 0.470 0.594
0.290 0.875 0.970
```